Record 1
8
Lattice="-3.4565 -0.6977 -5.8511 4.8323 -4.2174 -2.3518 -1.0331 -5.1772 -2.7605" Properties=species:S:1:pos:R:3 comment="NbBi2H, relaxed, DFT GGA-PBE" sg="I-42d, No. 122" final_energy_ev_per_atom=-4.6918 dos_at_fermi_per_ev_fu=3.3 pbc="T T T"
H 0.6879 -2.4576 -4.1014
H 2.2436 -5.9261 -4.6068
Nb 0.0000 0.0000 0.0000
Nb -1.9008 -4.1662 -6.3565
Bi -1.5380 -2.2017 -4.1728
Bi 2.0533 -4.0732 -3.3595
Bi 0.1278 -6.0635 -5.3346
Bi 0.0424 -7.8462 -9.0597

---

Record 2
4
Lattice="3.1113 0.0000 0.0000 1.5556 2.6944 0.0000 1.5556 0.8981 8.3564" Properties=species:S:1:pos:R:3 comment="Nb2BiH, relaxed, DFT GGA-PBE" sg="R-3m, No. 166" final_energy_ev_per_atom=-6.3796 dos_at_fermi_per_ev_fu=4.5 pbc="T T T"
H 3.1113 1.7963 4.1782
Nb 1.5556 0.8981 5.4543
Nb 4.6669 2.6944 2.9020
Bi 0.0000 0.0000 0.0000

---

Record 3
5
Lattice="-0.7402 -3.8809 3.4208 -2.8482 -2.5790 -3.5423 4.3187 -2.3660 -1.7498" Properties=species:S:1:pos:R:3 comment="Nb3BiH, relaxed, DFT GGA-PBE" sg="Pm-3m, No. 221" final_energy_ev_per_atom=-4.8937 dos_at_fermi_per_ev_fu=6.6 pbc="T T T"
H 0.3652 -4.4130 -0.9357
Nb -1.4241 -1.2895 -1.7711
Nb 2.1593 -1.1830 -0.8749
Nb -0.3701 -1.9405 1.7104
Bi 0.0000 0.0000 0.0000